Entry 1:
# Na4Al2CuAu (PBE, relaxed)
data_Na4Al2CuAu
_space_group_name_H-M_alt 'P 1'
_space_group_IT_number 1
_space_group_name_Hall 'P 1'
_cell_length_a 4.7916
_cell_length_b 4.7916
_cell_length_c 6.7696
_cell_angle_alpha 90.00
_cell_angle_beta 90.00
_cell_angle_gamma 90.00
loop_
_atom_site_label
_atom_site_type_symbol
_atom_site_fract_x
_atom_site_fract_y
_atom_site_fract_z
Na1 Na 0.0000 0.0000 0.0000
Na2 Na 0.0000 0.5000 0.7429
Na3 Na 0.5000 0.0000 0.2571
Na4 Na 0.5000 0.5000 0.5000
Al1 Al 0.0000 0.5000 0.2529
Al2 Al 0.5000 0.0000 0.7471
Cu1 Cu 0.0000 0.0000 0.5000
Au1 Au 0.5000 0.5000 0.0000
# E_tot in eV/atom: -2.4103

=====

Entry 2:
# Na2Sc2Al2CuAu (PBE, relaxed)
data_Na2Sc2Al2CuAu
_space_group_name_H-M_alt 'P 1'
_space_group_IT_number 1
_space_group_name_Hall 'P 1'
_cell_length_a 4.6463
_cell_length_b 4.6463
_cell_length_c 6.5921
_cell_angle_alpha 90.00
_cell_angle_beta 90.00
_cell_angle_gamma 90.00
loop_
_atom_site_label
_atom_site_type_symbol
_atom_site_fract_x
_atom_site_fract_y
_atom_site_fract_z
Na1 Na 0.0000 0.0000 0.0000
Na2 Na 0.5000 0.5000 0.5000
Sc1 Sc 0.0000 0.5000 0.2419
Sc2 Sc 0.5000 0.0000 0.7581
Al1 Al 0.0000 0.5000 0.7558
Al2 Al 0.5000 0.0000 0.2442
Cu1 Cu 0.5000 0.5000 0.0000
Au1 Au 0.0000 0.0000 0.5000
# E_tot in eV/atom: -3.9000

=====

Entry 3:
# NdAl2CuAu (PBE, relaxed)
data_NdAl2CuAu
_space_group_name_H-M_alt 'P 1'
_space_group_IT_number 1
_space_group_name_Hall 'P 1'
_cell_length_a 4.3305
_cell_length_b 4.3305
_cell_length_c 10.2984
_cell_angle_alpha 90.00
_cell_angle_beta 90.00
_cell_angle_gamma 90.00
loop_
_atom_site_label
_atom_site_type_symbol
_atom_site_fract_x
_atom_site_fract_y
_atom_site_fract_z
Nd1 Nd 0.2500 0.2500 0.2437
Nd2 Nd 0.7500 0.7500 0.7563
Al1 Al 0.2500 0.2500 0.6438
Al2 Al 0.2500 0.7500 0.0000
Al3 Al 0.7500 0.2500 0.0000
Al4 Al 0.7500 0.7500 0.3562
Cu1 Cu 0.2500 0.2500 0.8790
Cu2 Cu 0.7500 0.7500 0.1210
Au1 Au 0.2500 0.7500 0.5000
Au2 Au 0.7500 0.2500 0.5000
# E_tot in eV/atom: -4.4080

=====

Entry 4:
# AlCuOsAu (PBE, relaxed)
data_AlCuOsAu
_space_group_name_H-M_alt 'P 1'
_space_group_IT_number 1
_space_group_name_Hall 'P 1'
_cell_length_a 4.3788
_cell_length_b 4.3788
_cell_length_c 4.3788
_cell_angle_alpha 60.00
_cell_angle_beta 60.00
_cell_angle_gamma 60.00
loop_
_atom_site_label
_atom_site_type_symbol
_atom_site_fract_x
_atom_site_fract_y
_atom_site_fract_z
Al1 Al 0.0000 0.0000 0.0000
Cu1 Cu 0.2500 0.2500 0.2500
Os1 Os 0.7500 0.7500 0.7500
Au1 Au 0.5000 0.5000 0.5000
# E_tot in eV/atom: -5.3106
# Energy above the most stable polymorph in this dataset in eV/atom: 0.0000